1.
# TbMnInCl6 PBE relaxed
# VASP energy, eV/atom: -4.38
# M_tot, μB per formula unit: 0.9
# Volume, Å³/cell: 524.2
# E_form (uncorrected), eV/atom: -1.312
data_TbMnInCl6
_chemical_formula_sum 'Tb2 Mn2 In2 Cl12'
_cell_length_a 6.478
_cell_length_b 6.478
_cell_length_c 14.423
_cell_angle_alpha 90.00
_cell_angle_beta 90.00
_cell_angle_gamma 120.00
_symmetry_space_group_name_H-M 'P 1'
_symmetry_Int_Tables_number 1
loop_
_symmetry_equiv_pos_as_xyz
'x,y,z'
loop_
_atom_site_label
_atom_site_fract_x
_atom_site_fract_y
_atom_site_fract_z
Tb1 0.333 0.667 0.250
Tb2 0.667 0.333 0.750
Mn1 0.333 0.667 0.750
Mn2 0.667 0.333 0.250
In1 0.000 0.000 0.000
In2 0.000 0.000 0.500
Cl1 0.034 0.380 0.651
Cl2 0.034 0.654 0.849
Cl3 0.346 0.380 0.849
Cl4 0.346 0.966 0.651
Cl5 0.380 0.034 0.151
Cl6 0.380 0.346 0.349
Cl7 0.620 0.654 0.651
Cl8 0.620 0.966 0.849
Cl9 0.654 0.034 0.349
Cl10 0.654 0.620 0.151
Cl11 0.966 0.346 0.151
Cl12 0.966 0.620 0.349

2.
# KRePt4 PBE relaxed
# VASP energy, eV/atom: -5.75
# M_tot, μB per formula unit: 4.0
# Volume, Å³/cell: 109.8
# Energy of formation, eV/f.u.: 3.20
data_KRePt4
_chemical_formula_sum 'K1 Re1 Pt4'
_cell_length_a 5.374
_cell_length_b 5.374
_cell_length_c 5.374
_cell_angle_alpha 60.00
_cell_angle_beta 60.00
_cell_angle_gamma 60.00
_symmetry_space_group_name_H-M 'P 1'
_symmetry_Int_Tables_number 1
loop_
_symmetry_equiv_pos_as_xyz
'x,y,z'
loop_
_atom_site_label
_atom_site_fract_x
_atom_site_fract_y
_atom_site_fract_z
K1 0.000 0.000 0.000
Re1 0.250 0.250 0.250
Pt1 0.126 0.625 0.625
Pt2 0.625 0.126 0.625
Pt3 0.625 0.625 0.126
Pt4 0.625 0.625 0.625

3.
# CrHS2 PBE relaxed
# VASP energy, eV/atom: -5.60
# M_tot, μB per formula unit: 0.0
# Volume, Å³/cell: 127.0
# Energy above the lowest structure with this stoichiometry, meV/atom: 174
data_CrHS2
_chemical_formula_sum 'Cr2 H2 S4'
_cell_length_a 6.735
_cell_length_b 6.735
_cell_length_c 6.560
_cell_angle_alpha 100.59
_cell_angle_beta 100.59
_cell_angle_gamma 25.77
_symmetry_space_group_name_H-M 'P 1'
_symmetry_Int_Tables_number 1
loop_
_symmetry_equiv_pos_as_xyz
'x,y,z'
loop_
_atom_site_label
_atom_site_fract_x
_atom_site_fract_y
_atom_site_fract_z
Cr1 0.000 0.000 0.000
Cr2 0.675 0.675 0.064
H1 0.204 0.204 0.196
H2 0.320 0.320 0.777
S1 0.128 0.128 0.805
S2 0.419 0.419 0.745
S3 0.559 0.559 0.261
S4 0.844 0.844 0.125

4.
# PrMnPt4 PBE relaxed
# VASP energy, eV/atom: -6.94
# M_tot, μB per formula unit: 4.3
# Volume, Å³/cell: 219.6
# Energy of formation, eV/f.u.: -3.53
data_PrMnPt4
_chemical_formula_sum 'Pr2 Mn2 Pt8'
_cell_length_a 7.751
_cell_length_b 4.046
_cell_length_c 7.003
_cell_angle_alpha 90.00
_cell_angle_beta 90.00
_cell_angle_gamma 90.00
_symmetry_space_group_name_H-M 'P 1'
_symmetry_Int_Tables_number 1
loop_
_symmetry_equiv_pos_as_xyz
'x,y,z'
loop_
_atom_site_label
_atom_site_fract_x
_atom_site_fract_y
_atom_site_fract_z
Pr1 0.250 0.000 0.148
Pr2 0.750 0.000 0.852
Mn1 0.250 0.000 0.728
Mn2 0.750 0.000 0.272
Pt1 0.000 0.000 0.500
Pt2 0.049 0.500 0.814
Pt3 0.250 0.500 0.475
Pt4 0.451 0.500 0.814
Pt5 0.500 0.000 0.500
Pt6 0.549 0.500 0.186
Pt7 0.750 0.500 0.525
Pt8 0.951 0.500 0.186

5.
# Na2Nb2WN6 PBE relaxed
# VASP energy, eV/atom: -8.33
# M_tot, μB per formula unit: 0.0
# Volume, Å³/cell: 145.3
# E_form (uncorrected), eV/atom: -0.536
data_Na2Nb2WN6
_chemical_formula_sum 'Na2 Nb2 W1 N6'
_cell_length_a 5.360
_cell_length_b 5.360
_cell_length_c 6.100
_cell_angle_alpha 98.48
_cell_angle_beta 98.48
_cell_angle_gamma 119.81
_symmetry_space_group_name_H-M 'P 1'
_symmetry_Int_Tables_number 1
loop_
_symmetry_equiv_pos_as_xyz
'x,y,z'
loop_
_atom_site_label
_atom_site_fract_x
_atom_site_fract_y
_atom_site_fract_z
Na1 0.168 0.832 0.000
Na2 0.832 0.168 0.000
Nb1 0.333 0.667 0.500
Nb2 0.667 0.333 0.500
W1 0.000 0.000 0.500
N1 0.059 0.387 0.688
N2 0.258 0.258 0.314
N3 0.387 0.059 0.688
N4 0.613 0.941 0.312
N5 0.742 0.742 0.686
N6 0.941 0.613 0.312

6.
# CaCdRu2 PBE relaxed
# VASP energy, eV/atom: -5.20
# M_tot, μB per formula unit: 0.0
# Volume, Å³/cell: 75.9
# Energy of formation, eV/f.u.: 0.67
data_CaCdRu2
_chemical_formula_sum 'Ca1 Cd1 Ru2'
_cell_length_a 2.995
_cell_length_b 2.995
_cell_length_c 8.457
_cell_angle_alpha 90.00
_cell_angle_beta 90.00
_cell_angle_gamma 90.00
_symmetry_space_group_name_H-M 'P 1'
_symmetry_Int_Tables_number 1
loop_
_symmetry_equiv_pos_as_xyz
'x,y,z'
loop_
_atom_site_label
_atom_site_fract_x
_atom_site_fract_y
_atom_site_fract_z
Ca1 0.000 0.000 0.000
Cd1 0.500 0.500 0.321
Ru1 0.000 0.000 0.566
Ru2 0.500 0.500 0.739

7.
# Pu2InO PBE relaxed
# VASP energy, eV/atom: -10.08
# M_tot, μB per formula unit: 11.6
# Volume, Å³/cell: 79.3
# Energy above the lowest structure with this stoichiometry, meV/atom: 155
# E_form (uncorrected), eV/atom: -0.989
data_Pu2InO
_chemical_formula_sum 'Pu2 In1 O1'
_cell_length_a 3.098
_cell_length_b 3.098
_cell_length_c 8.266
_cell_angle_alpha 90.00
_cell_angle_beta 90.00
_cell_angle_gamma 90.00
_symmetry_space_group_name_H-M 'P 1'
_symmetry_Int_Tables_number 1
loop_
_symmetry_equiv_pos_as_xyz
'x,y,z'
loop_
_atom_site_label
_atom_site_fract_x
_atom_site_fract_y
_atom_site_fract_z
Pu1 0.000 0.000 0.189
Pu2 0.000 0.000 0.811
In1 0.500 0.500 0.500
O1 0.500 0.500 0.000

8.
# K3Ho2PuS6 PBE relaxed
# VASP energy, eV/atom: -6.07
# M_tot, μB per formula unit: 5.0
# Volume, Å³/cell: 316.6
# E_form (uncorrected), eV/atom: -1.771
data_K3Ho2PuS6
_chemical_formula_sum 'K3 Ho2 Pu1 S6'
_cell_length_a 7.054
_cell_length_b 7.054
_cell_length_c 7.715
_cell_angle_alpha 98.77
_cell_angle_beta 98.77
_cell_angle_gamma 120.00
_symmetry_space_group_name_H-M 'P 1'
_symmetry_Int_Tables_number 1
loop_
_symmetry_equiv_pos_as_xyz
'x,y,z'
loop_
_atom_site_label
_atom_site_fract_x
_atom_site_fract_y
_atom_site_fract_z
K1 0.000 0.000 0.000
K2 0.333 0.667 0.000
K3 0.667 0.333 0.000
Ho1 0.167 0.833 0.500
Ho2 0.833 0.167 0.500
Pu1 0.500 0.500 0.500
S1 0.095 0.433 0.299
S2 0.229 0.229 0.701
S3 0.433 0.095 0.299
S4 0.567 0.905 0.701
S5 0.771 0.771 0.299
S6 0.905 0.567 0.701

9.
# Ni5Br PBE relaxed
# VASP energy, eV/atom: -4.69
# M_tot, μB per formula unit: 2.8
# Volume, Å³/cell: 73.9
# Energy above the lowest structure with this stoichiometry, meV/atom: 132
# E_form (uncorrected), eV/atom: 0.411
data_Ni5Br
_chemical_formula_sum 'Ni5 Br1'
_cell_length_a 4.510
_cell_length_b 4.510
_cell_length_c 4.196
_cell_angle_alpha 90.00
_cell_angle_beta 90.00
_cell_angle_gamma 120.00
_symmetry_space_group_name_H-M 'P 1'
_symmetry_Int_Tables_number 1
loop_
_symmetry_equiv_pos_as_xyz
'x,y,z'
loop_
_atom_site_label
_atom_site_fract_x
_atom_site_fract_y
_atom_site_fract_z
Ni1 0.000 0.641 0.000
Ni2 0.333 0.667 0.500
Ni3 0.359 0.359 0.000
Ni4 0.641 0.000 0.000
Ni5 0.667 0.333 0.500
Br1 0.000 0.000 0.500

10.
# PrDyPS PBE relaxed
# VASP energy, eV/atom: -6.58
# M_tot, μB per formula unit: 0.0
# Volume, Å³/cell: 94.9
# E_form (uncorrected), eV/atom: -1.845
data_PrDyPS
_chemical_formula_sum 'Pr1 Dy1 P1 S1'
_cell_length_a 7.076
_cell_length_b 7.076
_cell_length_c 7.076
_cell_angle_alpha 33.26
_cell_angle_beta 33.26
_cell_angle_gamma 33.26
_symmetry_space_group_name_H-M 'P 1'
_symmetry_Int_Tables_number 1
loop_
_symmetry_equiv_pos_as_xyz
'x,y,z'
loop_
_atom_site_label
_atom_site_fract_x
_atom_site_fract_y
_atom_site_fract_z
Pr1 0.000 0.000 0.000
Dy1 0.506 0.506 0.506
P1 0.248 0.248 0.248
S1 0.758 0.758 0.758